1.
PrSbAuS after structural relaxation, computed with PBE.

a b c (Å): 11.733 11.733 11.733
angles (deg): 22.94 22.94 22.94
Fractional coordinates of all 8 atoms:
Pr (0.112, 0.112, 0.112)
Pr (0.888, 0.888, 0.888)
Sb (0.294, 0.294, 0.294)
Sb (0.706, 0.706, 0.706)
Au (0.381, 0.381, 0.381)
Au (0.619, 0.619, 0.619)
S (0.197, 0.197, 0.197)
S (0.803, 0.803, 0.803)

Output
E_form (uncorrected) ... -1040 meV/atom
Density of states at the Fermi level ... 0.6 states/eV/f.u.

---

2.
ZnAsCl2 after structural relaxation, computed with PBE.

a b c (Å): 5.196 5.196 5.196
angles (deg): 129.72 129.72 73.86
Fractional coordinates of all 4 atoms:
Zn (0.000, 0.000, 0.000)
As (0.500, 0.500, 0.000)
Cl (0.250, 0.750, 0.500)
Cl (0.750, 0.250, 0.500)

Output
Energy above the lowest structure with this stoichiometry ... 0.731 eV/atom
E_form (uncorrected) ... 305 meV/atom
Density of states at the Fermi level ... 3.0 states/eV/f.u.

---

3.
NbTe2SeN after structural relaxation, computed with PBE.

a b c (Å): 5.533 5.533 3.918
angles (deg): 90.00 90.00 90.00
Fractional coordinates of all 5 atoms:
Nb (0.000, 0.000, 0.000)
Te (0.000, 0.500, 0.000)
Te (0.500, 0.000, 0.000)
Se (0.500, 0.500, 0.500)
N (0.000, 0.000, 0.500)

Output
Energy above the lowest structure with this stoichiometry ... 0.000 eV/atom
E_form (uncorrected) ... 274 meV/atom
Density of states at the Fermi level ... 5.3 states/eV/f.u.